## ZrTcAg2 (PBE)

Data for crystalline ZrTcAg2 at its relaxed geometry.

Calculated values
excess energy over the best structure of this formula in the dataset = 0.52 eV per formula unit
formation enthalpy at 0 K = 0.93 eV/f.u.

Cell lengths 5.431, 9.863, 2.798 Å; angles 90.00, 107.98, 90.00 degrees
Space group C2/m (No. 12)
Symmetry-distinct sites (fractional):
Zr: 0.000 0.000 0.000 (multiplicity 2)
Tc: 0.000 0.500 0.000 (multiplicity 2)
Ag: 0.250 0.250 0.500 (multiplicity 4)